This record from the Alexandria database describes crystalline CaIn2AsP at its relaxed geometry. The functional is GGA-PBE.

a b c (Å): 5.0682 5.0682 5.4629
angles (deg): 90.00 90.00 90.00
Sites, in units of the cell vectors:
Ca (0.0000, 0.0000, 0.0000)
In (0.0000, 0.5000, 0.5000)
In (0.5000, 0.0000, 0.5000)
As (0.5000, 0.5000, 0.0000)
P (0.0000, 0.0000, 0.5000)

Properties
M_tot: 0.0 μB/f.u.
calculated formation energy: -72 meV per atom